Record 1
Computed, not measured: crystalline CrFe2W at its relaxed geometry at the PBE-GGA level of DFT.

Output
E_tot: -38.17 eV/cell
E_form: 0.332 eV per atom
calculated volume: 50.9 Å³/cell

a b c (Å): 8.5624 8.5624 8.5624
angles (deg): 17.74 17.74 17.74
With the nearest neighbours (Å) after each atom.
Fractional coordinates of all 4 atoms:
Cr  0.0000  0.0000  0.0000  6 Fe 2.48, 6 Cr 2.64
Fe  0.2560  0.2560  0.2560  3 Cr 2.48, 6 Fe 2.64, 3 W 2.72
Fe  0.7440  0.7440  0.7440  3 Cr 2.48, 6 Fe 2.64, 3 W 2.72
W  0.5000  0.5000  0.5000  6 W 2.64, 6 Fe 2.72

=====

Record 2
Computed, not measured: crystalline CrFeW2 at its relaxed geometry at the PBE-GGA level of DFT.

Output
E_tot: -42.85 eV/cell
E_form: 0.285 eV per atom
calculated volume: 55.1 Å³/cell

a b c (Å): 4.7530 4.7530 4.5281
angles (deg): 101.74 101.74 33.43
With the nearest neighbours (Å) after each atom.
Fractional coordinates of all 4 atoms:
Cr  0.0000  0.0000  0.0000  2 Fe 2.50, 7 W 2.58-2.75, 2 Cr 2.73
Fe  0.7202  0.7202  0.2607  2 Cr 2.50, 7 W 2.60-2.69, 2 Fe 2.73
W  0.2386  0.2386  0.7780  3 Cr 2.58-2.74, 4 Fe 2.61-2.69, 3 W 2.73
W  0.4635  0.4635  0.4629  4 Cr 2.58-2.75, 3 Fe 2.60-2.68, 3 W 2.73

=====

Record 3
Computed, not measured: crystalline Cr2FeW at its relaxed geometry at the PBE-GGA level of DFT.

Output
E_tot: -40.17 eV/cell
E_form: 0.124 eV per atom
calculated volume: 50.9 Å³/cell

a b c (Å): 2.9902 4.0870 4.1665
angles (deg): 90.00 90.00 90.00
With the nearest neighbours (Å) after each atom.
Fractional coordinates of all 4 atoms:
Cr  0.0000  0.0000  0.0000  4 Cr 2.53, 4 W 2.56
Cr  0.5000  0.5000  0.0000  4 Cr 2.53, 4 Fe 2.56
Fe  0.0000  0.5000  0.5000  4 W 2.53, 4 Cr 2.56
W  0.5000  0.0000  0.5000  4 Fe 2.53, 4 Cr 2.56

=====

Record 4
Computed, not measured: crystalline Cr2FeW at its relaxed geometry at the PBE-GGA level of DFT.

Output
E_tot: -39.05 eV/cell
E_form: 0.403 eV per atom
calculated volume: 51.7 Å³/cell

a b c (Å): 8.7876 8.7876 8.7876
angles (deg): 17.19 17.19 17.19
With the nearest neighbours (Å) after each atom.
Fractional coordinates of all 4 atoms:
Cr  0.2422  0.2422  0.2422  3 Fe 2.48, 6 Cr 2.63
Cr  0.7578  0.7578  0.7578  3 Fe 2.48, 6 Cr 2.63
Fe  0.5000  0.5000  0.5000  6 Cr 2.48, 6 Fe 2.63
W  0.0000  0.0000  0.0000  6 W 2.63, 6 Cr 2.81

=====

Record 5
Computed, not measured: crystalline Cr2FeW at its relaxed geometry at the PBE-GGA level of DFT.

Output
E_tot: -39.61 eV/cell
E_form: 0.263 eV per atom
calculated volume: 50.7 Å³/cell

a b c (Å): 2.6125 2.6125 7.4211
angles (deg): 90.00 90.00 90.00
With the nearest neighbours (Å) after each atom.
Fractional coordinates of all 4 atoms:
Cr  0.0000  0.0000  0.0000  8 Cr 2.60-2.61, 4 W 2.82
Cr  0.5000  0.5000  0.2472  4 Fe 2.39, 8 Cr 2.60-2.61
Fe  0.0000  0.0000  0.4510  4 Cr 2.39, 4 Fe 2.61
W  0.5000  0.5000  0.7137  4 W 2.61, 4 Fe 2.69, 4 Cr 2.82

=====

Record 6
Computed, not measured: crystalline CrFe3W2 at its relaxed geometry at the PBE-GGA level of DFT.

Output
E_tot: -61.00 eV/cell
E_form: -0.013 eV per atom
calculated volume: 74.5 Å³/cell

a b c (Å): 4.6821 4.6821 4.6821
angles (deg): 61.15 61.15 61.15
With the nearest neighbours (Å) after each atom.
Fractional coordinates of all 6 atoms:
Cr  0.0000  0.0000  0.0000  6 Fe 2.34
Fe  0.0000  0.0000  0.5000  2 Cr 2.34, 4 Fe 2.38
Fe  0.0000  0.5000  0.0000  2 Cr 2.34, 4 Fe 2.38
Fe  0.5000  0.0000  0.0000  2 Cr 2.34, 4 Fe 2.38
W  0.3759  0.3759  0.3759  9 Fe 2.75-2.77, 3 Cr 2.79, 4 W 2.82-2.92
W  0.6241  0.6241  0.6241  9 Fe 2.75-2.77, 3 Cr 2.79, 4 W 2.82-2.92

=====

Record 7
Computed, not measured: crystalline ZnCrFeW at its relaxed geometry at the PBE-GGA level of DFT.

Output
E_tot: -31.61 eV/cell
E_form: 0.176 eV per atom
calculated volume: 52.3 Å³/cell

a b c (Å): 4.1985 4.1985 4.1985
angles (deg): 60.00 60.00 60.00
With the nearest neighbours (Å) after each atom.
Fractional coordinates of all 4 atoms:
Zn  0.0000  0.0000  0.0000  4 Cr 2.57, 4 Fe 2.57
Cr  0.2500  0.2500  0.2500  4 W 2.57, 4 Zn 2.57
Fe  0.7500  0.7500  0.7500  4 W 2.57, 4 Zn 2.57
W  0.5000  0.5000  0.5000  4 Cr 2.57, 4 Fe 2.57

=====

Record 8
Computed, not measured: crystalline YCrFe3 at its relaxed geometry at the PBE-GGA level of DFT.

Output
E_tot: -38.62 eV/cell
E_form: 0.572 eV per atom
calculated volume: 78.0 Å³/cell

a b c (Å): 4.2719 4.2719 4.2719
angles (deg): 90.00 90.00 90.00
With the nearest neighbours (Å) after each atom.
Fractional coordinates of all 5 atoms:
Y  0.0000  0.0000  0.0000  12 Fe 3.02
Cr  0.5000  0.5000  0.5000  6 Fe 2.14
Fe  0.0000  0.5000  0.5000  2 Cr 2.14
Fe  0.5000  0.0000  0.5000  2 Cr 2.14
Fe  0.5000  0.5000  0.0000  2 Cr 2.14